1.
VASP calculation (PBE-GGA) on an optimized crystal structure of LiFeBiAu.

The structure in POSCAR format:
```
LiFeBiAu
1.0
-1.005 3.365 3.022
0.911 4.416 -1.063
-3.475 2.936 -0.874
Au Bi Fe Li
1 1 1 1
direct
0.500 0.500 0.500 Au
0.000 0.000 0.000 Bi
0.750 0.750 0.750 Fe
0.250 0.250 0.250 Li
```

Summary:
**Density**: 11.073 g cm⁻³
**Energy**: -4.37 eV/atom
**Space group**: F-43m

***

2.
VASP calculation (PBE-GGA) on an optimized crystal structure of Gd2In8Fe.

The structure in POSCAR format:
```
Gd2In8Fe
1.0
4.628 0.000 0.000
0.000 4.628 0.000
0.000 0.000 12.297
Fe Gd In
1 2 8
direct
0.000 0.000 0.000 Fe
0.000 0.000 0.307 Gd
0.000 0.000 0.693 Gd
0.500 0.000 0.119 In
0.000 0.500 0.119 In
0.500 0.500 0.307 In
0.500 0.000 0.500 In
0.000 0.500 0.500 In
0.500 0.500 0.693 In
0.500 0.000 0.881 In
0.000 0.500 0.881 In
```

Summary:
**Density**: 8.125 g cm⁻³
**Energy**: -3.87 eV/atom
**Space group**: P4/mmm